Here is a relaxed structure of Li2YIn from Alexandria via LeMat-Bulk. Energies are from PBE.

Cell lengths 6.225, 6.225, 3.382 Å; angles 75.70, 75.70, 119.47 degrees
Atoms (fractional coordinates):
In1 0.000 0.500 0.500
Li1 0.000 0.000 0.000
Li2 0.500 0.500 0.000
Y1 0.500 0.000 0.500

electronic total energy = -0.24421 Ry per atom
density = 3.6 g/cm3



Here is a relaxed structure of Li2YIn from Alexandria via LeMat-Bulk. Energies are from PBE.

Cell lengths 10.101, 10.101, 10.101 Å; angles 19.48, 19.48, 19.48 degrees
Atoms (fractional coordinates):
In1 0.742 0.742 0.742
Li1 0.002 0.002 0.002
Li2 0.256 0.256 0.256
Y1 0.499 0.499 0.499

electronic total energy = -0.24323 Ry per atom
density = 3.6 g/cm3